# Ga2GeCl6

A geometry-optimized Ga2GeCl6 structure (PBE, Alexandria).

Summary:
N(E_F)	3.7	states/eV per cell
ΔE_f (raw)	-0.80	eV per atom

Geometry as POSCAR:
```
Ga2GeCl6
1.0
6.708 -6.177 0.000
6.708 6.177 0.000
-3.923 0.000 7.669
Ga Ge Cl
4 2 12
direct
0.104 0.263 0.264
0.263 0.104 0.764
0.737 0.896 0.236
0.896 0.737 0.736
0.400 0.600 0.750
0.600 0.400 0.250
0.141 0.145 0.982
0.145 0.141 0.482
0.150 0.599 0.784
0.278 0.480 0.395
0.401 0.850 0.716
0.480 0.278 0.895
0.520 0.722 0.105
0.599 0.150 0.284
0.722 0.520 0.605
0.850 0.401 0.216
0.855 0.859 0.518
0.859 0.855 0.018
```